(1)
A plane-wave DFT calculation with PBE was carried out for a geometry-optimized AlOsCl2 structure.

Cell: 4.0604 4.0755 4.0755 Å, 90.00 90.00 90.00°
Closest atoms and distances in Å follow each position.
Fractional coordinates of all 4 atoms:
Os1 0.5000 0.5000 0.0000  8 Cl 2.88, 4 Al 2.88
Cl1 0.0000 0.0000 0.0000  4 Os 2.88, 4 Al 2.88, 4 Cl 2.88
Cl2 0.0000 0.5000 0.5000  4 Os 2.88, 4 Al 2.88, 4 Cl 2.88
Al1 0.5000 0.0000 0.5000  8 Cl 2.88, 4 Os 2.88

Results
formation energy (no corrections) = 0.98 eV/atom
volume = 16.86 A^3/atom



(2)
A plane-wave DFT calculation with PBE was carried out for a geometry-optimized AlOsCl2 structure.

Cell: 3.0240 3.8871 7.5800 Å, 81.22 90.00 90.00°
Closest atoms and distances in Å follow each position.
Fractional coordinates of all 4 atoms:
Al1 0.5000 0.7736 0.6825  2 Cl 2.51, 4 Os 2.54-2.58
Cl1 0.5000 0.4083 0.3297  2 Os 2.45
Cl2 0.0000 0.0092 0.9007  1 Os 2.48, 2 Al 2.51
Os1 0.0000 0.3089 0.5871  3 Cl 2.45-2.48, 4 Al 2.54-2.58

Results
formation energy (no corrections) = -0.16 eV/atom
volume = 22.01 A^3/atom



(3)
A plane-wave DFT calculation with PBE was carried out for a geometry-optimized AlOsCl2 structure.

Cell: 2.9832 2.9832 8.6703 Å, 90.00 90.00 90.00°
Closest atoms and distances in Å follow each position.
Fractional coordinates of all 4 atoms:
Os1 0.0000 0.0000 0.5313  4 Al 2.64, 4 Cl 2.68
Cl1 0.0000 0.0000 0.9136  4 Al 2.72, 4 Cl 2.98
Cl2 0.5000 0.5000 0.3401  4 Os 2.68, 4 Cl 2.98
Al1 0.5000 0.5000 0.7150  4 Os 2.64, 4 Cl 2.72

Results
formation energy (no corrections) = 0.06 eV/atom
volume = 19.29 A^3/atom



(4)
A plane-wave DFT calculation with PBE was carried out for a geometry-optimized AlOs2Cl structure.

Cell: 6.1570 6.1570 6.1570 Å, 153.97 139.91 48.42°
Closest atoms and distances in Å follow each position.
Fractional coordinates of all 4 atoms:
Cl1 0.2397 0.7397 0.5000  4 Os 2.54, 2 Cl 2.77
Al1 0.5378 0.5378 0.0000  6 Os 2.68-2.90, 2 Al 2.77
Os1 0.7643 0.2643 0.5000  4 Cl 2.54, 4 Os 2.58-2.77
Os2 0.9582 0.9582 0.0000  4 Os 2.58-2.77, 4 Al 2.68

Results
formation energy (no corrections) = 0.69 eV/atom
volume = 16.43 A^3/atom



(5)
A plane-wave DFT calculation with PBE was carried out for a geometry-optimized AlOs2Cl structure.

Cell: 2.8902 2.8823 8.0687 Å, 69.04 90.00 90.00°
Closest atoms and distances in Å follow each position.
Fractional coordinates of all 4 atoms:
Os1 0.0000 0.8454 0.0300  2 Cl 2.58, 8 Os 2.63-2.89
Os2 0.5000 0.1250 0.2500  8 Os 2.63-2.89, 4 Al 2.65
Cl1 0.5000 0.1293 0.7456  2 Al 2.50, 2 Os 2.58
Al1 0.0000 0.4003 0.4745  2 Cl 2.50, 4 Os 2.65

Results
formation energy (no corrections) = 0.06 eV/atom
volume = 15.69 A^3/atom



(6)
A plane-wave DFT calculation with PBE was carried out for a geometry-optimized AlOsCl2 structure.

Cell: 6.1699 6.1699 6.9319 Å, 63.57 63.57 90.00°
Closest atoms and distances in Å follow each position.
Fractional coordinates of all 8 atoms:
Cl1 0.7053 0.1250 0.2500  2 Os 2.30
Cl2 0.0447 0.6250 0.2500  2 Os 2.30
Cl3 0.3750 0.2947 0.7500  2 Os 2.30
Cl4 0.8750 0.9553 0.7500  2 Os 2.30
Os1 0.0000 0.0000 0.0000  4 Cl 2.30
Os2 0.7500 0.2500 0.5000  4 Cl 2.30
Al1 0.5000 0.5000 0.0000  4 Cl 2.89
Al2 0.2500 0.7500 0.5000  4 Cl 2.89

Results
formation energy (no corrections) = 0.88 eV/atom
volume = 25.63 A^3/atom



(7)
A plane-wave DFT calculation with PBE was carried out for a geometry-optimized AlOsCl2 structure.

Cell: 2.9691 3.9963 6.2943 Å, 90.00 90.00 90.00°
Closest atoms and distances in Å follow each position.
Fractional coordinates of all 4 atoms:
Cl1 0.0000 0.0000 0.4862  4 Os 2.90, 3 Cl 2.97, 4 Al 2.99
Cl2 0.0000 0.0000 0.0138  4 Os 2.90, 3 Cl 2.97, 4 Al 2.99
Al1 0.5000 0.5000 0.7500  2 Al 2.97, 8 Cl 2.99, 2 Os 3.15
Os1 0.5000 0.5000 0.2500  8 Cl 2.90, 2 Os 2.97, 2 Al 3.15

Results
formation energy (no corrections) = 1.00 eV/atom
volume = 18.67 A^3/atom



(8)
A plane-wave DFT calculation with PBE was carried out for a geometry-optimized AlOs2Cl structure.

Cell: 5.3845 5.3845 4.3501 Å, 80.56 80.56 30.13°
Closest atoms and distances in Å follow each position.
Fractional coordinates of all 4 atoms:
Os1 0.4585 0.4585 0.5342  6 Os 2.60-2.84, 2 Al 2.62, 1 Cl 2.67
Os2 0.0415 0.0415 0.9658  6 Os 2.60-2.84, 2 Al 2.62, 1 Cl 2.67
Al1 0.7500 0.7500 0.7500  4 Cl 2.59, 4 Os 2.62, 2 Al 2.80
Cl1 0.2500 0.2500 0.2500  4 Al 2.59, 2 Os 2.67, 2 Cl 2.80

Results
formation energy (no corrections) = 0.34 eV/atom
volume = 15.60 A^3/atom



(9)
A plane-wave DFT calculation with PBE was carried out for a geometry-optimized AlOsCl2 structure.

Cell: 8.3235 8.3235 3.9166 Å, 104.77 104.77 21.69°
Closest atoms and distances in Å follow each position.
Fractional coordinates of all 4 atoms:
Cl1 0.3956 0.3956 0.4071  1 Os 2.30
Cl2 0.1044 0.1044 0.0929  1 Os 2.30
Os1 0.2500 0.2500 0.2500  2 Cl 2.30, 4 Al 2.51
Al1 0.7500 0.7500 0.7500  4 Os 2.51

Results
formation energy (no corrections) = -0.17 eV/atom
volume = 24.21 A^3/atom



(10)
A plane-wave DFT calculation with PBE was carried out for a geometry-optimized AlOs2Cl structure.

Cell: 2.8001 4.8725 4.4015 Å, 90.00 90.00 90.00°
Closest atoms and distances in Å follow each position.
Fractional coordinates of all 4 atoms:
Os1 0.5000 0.5000 0.0000  4 Cl 2.61, 6 Os 2.80-2.81
Os2 0.0000 0.0000 0.0000  4 Al 2.61, 6 Os 2.80-2.81
Cl1 0.0000 0.5000 0.5000  4 Os 2.61, 2 Cl 2.80, 4 Al 2.81
Al1 0.5000 0.0000 0.5000  4 Os 2.61, 2 Al 2.80, 4 Cl 2.81

Results
formation energy (no corrections) = 0.64 eV/atom
volume = 15.01 A^3/atom



(11)
A plane-wave DFT calculation with PBE was carried out for a geometry-optimized AlOsCl2 structure.

Cell: 9.5121 9.5121 9.5121 Å, 17.78 17.78 17.78°
Closest atoms and distances in Å follow each position.
Fractional coordinates of all 4 atoms:
Cl1 0.9198 0.9198 0.9198  1 Os 2.25
Cl2 0.0802 0.0802 0.0802  1 Os 2.25
Al1 0.5000 0.5000 0.5000  6 Al 2.94, 6 Cl 2.96
Os1 0.0000 0.0000 0.0000  2 Cl 2.25

Results
formation energy (no corrections) = 0.27 eV/atom
volume = 17.52 A^3/atom



(12)
A plane-wave DFT calculation with PBE was carried out for a geometry-optimized AlOsCl2 structure.

Cell: 6.4360 6.4360 6.4360 Å, 153.65 98.07 87.91°
Closest atoms and distances in Å follow each position.
Fractional coordinates of all 4 atoms:
Al1 0.7347 0.2347 0.5000  2 Cl 2.31, 2 Os 2.51
Cl1 0.3231 0.8231 0.5000  2 Os 2.30
Cl2 0.9272 0.9272 0.0000  2 Al 2.31
Os1 0.5150 0.5150 0.0000  2 Cl 2.30, 2 Al 2.51

Results
formation energy (no corrections) = 0.09 eV/atom
volume = 28.68 A^3/atom



Question: What is the formation energy (no corrections) in the twelfth record?
Answer: 0.09 eV/atom



Repeat the first record exactly.
A plane-wave DFT calculation with PBE was carried out for a geometry-optimized AlOsCl2 structure.

Cell: 4.0604 4.0755 4.0755 Å, 90.00 90.00 90.00°
Closest atoms and distances in Å follow each position.
Fractional coordinates of all 4 atoms:
Os1 0.5000 0.5000 0.0000  8 Cl 2.88, 4 Al 2.88
Cl1 0.0000 0.0000 0.0000  4 Os 2.88, 4 Al 2.88, 4 Cl 2.88
Cl2 0.0000 0.5000 0.5000  4 Os 2.88, 4 Al 2.88, 4 Cl 2.88
Al1 0.5000 0.0000 0.5000  8 Cl 2.88, 4 Os 2.88

Results
formation energy (no corrections) = 0.98 eV/atom
volume = 16.86 A^3/atom



Question: The lowest volume belongs to which entry?
Answer: number 10



Question: Which value of volume does entry 5 give?
Answer: 15.69 A^3/atom